# 1
This record from Alexandria describes Cu2OsSe at its PBEsol-relaxed geometry. The functional is meta-GGA SCAN.

Computed properties:
The energy relative to the elements, uncorrected comes out at 158 kJ/mol of formula units. The value obtained for the total DFT energy (no corrections) is -1.109 Ha/atom.

```
data_Cu2OsSe
_cell_length_a 3.0439
_cell_length_b 3.0439
_cell_length_c 5.7798
_cell_angle_alpha 90.00
_cell_angle_beta 90.00
_cell_angle_gamma 90.00
_symmetry_space_group_name_H-M 'P 4 m m'
_symmetry_Int_Tables_number 99
_symmetry_space_group_name_Hall 'P 4 -2'
loop_
_atom_site_label
_atom_site_type_symbol
_atom_site_fract_x
_atom_site_fract_y
_atom_site_fract_z
Cu1 Cu 0.0000 0.0000 0.0000
Cu2 Cu 0.5000 0.5000 0.2015
Os1 Os 0.0000 0.0000 0.4731
Se1 Se 0.5000 0.5000 0.7105
```

# 2
This record from Alexandria describes SrPt2Br at its PBEsol-relaxed geometry. The functional is meta-GGA SCAN.

Computed properties:
The energy relative to the elements, uncorrected comes out at -53 kJ/mol of formula units. The value obtained for the total DFT energy (no corrections) is -1.678 Ha/atom.

```
data_SrPt2Br
_cell_length_a 5.2797
_cell_length_b 5.2797
_cell_length_c 5.9039
_cell_angle_alpha 90.00
_cell_angle_beta 90.00
_cell_angle_gamma 90.00
_symmetry_space_group_name_H-M 'I -4 m 2'
_symmetry_Int_Tables_number 119
_symmetry_space_group_name_Hall 'I -4 -2'
loop_
_atom_site_label
_atom_site_type_symbol
_atom_site_fract_x
_atom_site_fract_y
_atom_site_fract_z
Sr1 Sr 0.0000 0.0000 0.0000
Pt1 Pt 0.0000 0.0000 0.5000
Pt2 Pt 0.0000 0.5000 0.2500
Br1 Br 0.0000 0.5000 0.7500
```

# 3
This record from Alexandria describes MgZn2GePd at its PBEsol-relaxed geometry. The functional is meta-GGA SCAN.

Computed properties:
The energy of formation from the pure elements is 929 meV/atom. The value obtained for the total DFT energy (no corrections) is -0.582 Ha/atom.

```
data_MgZn2GePd
_cell_length_a 4.7020
_cell_length_b 4.7020
_cell_length_c 4.8055
_cell_angle_alpha 90.00
_cell_angle_beta 90.00
_cell_angle_gamma 90.00
_symmetry_space_group_name_H-M 'P 4/m m m'
_symmetry_Int_Tables_number 123
_symmetry_space_group_name_Hall '-P 4 2'
loop_
_atom_site_label
_atom_site_type_symbol
_atom_site_fract_x
_atom_site_fract_y
_atom_site_fract_z
Mg1 Mg 0.0000 0.0000 0.0000
Zn1 Zn 0.0000 0.5000 0.0000
Ge1 Ge 0.0000 0.0000 0.5000
Pd1 Pd 0.5000 0.5000 0.5000
```

# 4
This record from Alexandria describes NaAgC3 at its PBEsol-relaxed geometry. The functional is meta-GGA SCAN.

Computed properties:
The energy of formation from the pure elements is 3016 meV/atom. The value obtained for the total DFT energy (no corrections) is -0.373 Ha/atom.

```
data_NaAgC3
_cell_length_a 4.1533
_cell_length_b 4.1533
_cell_length_c 4.1533
_cell_angle_alpha 90.00
_cell_angle_beta 90.00
_cell_angle_gamma 90.00
_symmetry_space_group_name_H-M 'P m -3 m'
_symmetry_Int_Tables_number 221
_symmetry_space_group_name_Hall '-P 4 2 3'
loop_
_atom_site_label
_atom_site_type_symbol
_atom_site_fract_x
_atom_site_fract_y
_atom_site_fract_z
Na1 Na 0.0000 0.0000 0.0000
Ag1 Ag 0.5000 0.5000 0.5000
C1 C 0.0000 0.5000 0.5000
```

# 5
This record from Alexandria describes GeTeAsOs2 at its PBEsol-relaxed geometry. The functional is meta-GGA SCAN.

Computed properties:
The energy relative to the elements, uncorrected comes out at 1087 kJ/mol of formula units. The value obtained for the total DFT energy (no corrections) is -1.536 Ha/atom.

```
data_GeTeAsOs2
_cell_length_a 4.8000
_cell_length_b 4.8000
_cell_length_c 5.1138
_cell_angle_alpha 90.00
_cell_angle_beta 90.00
_cell_angle_gamma 90.00
_symmetry_space_group_name_H-M 'P 4/m m m'
_symmetry_Int_Tables_number 123
_symmetry_space_group_name_Hall '-P 4 2'
loop_
_atom_site_label
_atom_site_type_symbol
_atom_site_fract_x
_atom_site_fract_y
_atom_site_fract_z
Ge1 Ge 0.0000 0.0000 0.0000
Te1 Te 0.0000 0.0000 0.5000
As1 As 0.5000 0.5000 0.0000
Os1 Os 0.0000 0.5000 0.5000
```

# 6
This record from Alexandria describes BaMg2In2 at its PBEsol-relaxed geometry. The functional is meta-GGA SCAN.

Computed properties:
The energy of formation from the pure elements is -442 meV/atom. The value obtained for the total DFT energy (no corrections) is -0.871 Ha/atom.

```
data_BaMg2In2
_cell_length_a 4.8373
_cell_length_b 4.8373
_cell_length_c 12.4057
_cell_angle_alpha 90.00
_cell_angle_beta 90.00
_cell_angle_gamma 90.00
_symmetry_space_group_name_H-M 'I 4/m m m'
_symmetry_Int_Tables_number 139
_symmetry_space_group_name_Hall '-I 4 2'
loop_
_atom_site_label
_atom_site_type_symbol
_atom_site_fract_x
_atom_site_fract_y
_atom_site_fract_z
Ba1 Ba 0.0000 0.0000 0.0000
Mg1 Mg 0.0000 0.5000 0.2500
In1 In 0.0000 0.0000 0.3853
```

# 7
This record from Alexandria describes USnRh at its PBEsol-relaxed geometry. The functional is meta-GGA SCAN.

Computed properties:
The energy of formation from the pure elements is -401 meV/atom. The value obtained for the total DFT energy (no corrections) is -2.137 Ha/atom.

```
data_USnRh
_cell_length_a 7.1957
_cell_length_b 7.1957
_cell_length_c 4.0293
_cell_angle_alpha 90.00
_cell_angle_beta 90.00
_cell_angle_gamma 120.00
_symmetry_space_group_name_H-M 'P -6 2 m'
_symmetry_Int_Tables_number 189
_symmetry_space_group_name_Hall 'P -6 -2'
loop_
_atom_site_label
_atom_site_type_symbol
_atom_site_fract_x
_atom_site_fract_y
_atom_site_fract_z
U1 U 0.0000 0.5816 0.0000
Sn1 Sn 0.0000 0.2520 0.5000
Rh1 Rh 0.0000 0.0000 0.0000
Rh2 Rh 0.3333 0.6667 0.5000
```

# 8
This record from Alexandria describes Ba4CaCl at its PBEsol-relaxed geometry. The functional is meta-GGA SCAN.

Computed properties:
The energy relative to the elements, uncorrected comes out at 16 kJ/mol of formula units. The value obtained for the total DFT energy (no corrections) is -1.076 Ha/atom.

```
data_Ba4CaCl
_cell_length_a 10.8276
_cell_length_b 10.8276
_cell_length_c 10.8276
_cell_angle_alpha 90.00
_cell_angle_beta 90.00
_cell_angle_gamma 90.00
_symmetry_space_group_name_H-M 'F -4 3 m'
_symmetry_Int_Tables_number 216
_symmetry_space_group_name_Hall 'F -4 2 3'
loop_
_atom_site_label
_atom_site_type_symbol
_atom_site_fract_x
_atom_site_fract_y
_atom_site_fract_z
Ba1 Ba 0.1248 0.1248 0.1248
Ca1 Ca 0.0000 0.0000 0.5000
Cl1 Cl 0.2500 0.2500 0.7500
```

> total DFT energy (no corrections) of number 2 (SrPt2Br)?

-1.678 Ha/atom

> total DFT energy (no corrections) of number 7 (USnRh)?

-2.137 Ha/atom